1.
Computed, not measured: a relaxed Yb2FeC4 crystal at the PBE level of DFT.

## Properties
SG: No. 72
energy of formation from the pure elements: -0.67 eV/f.u.
size of the total moment: 0.07 μB/atom

The structure in extended XYZ format:
```
14
Lattice="-1.059 -5.937 2.840 0.455 -3.459 -5.680 4.102 3.780 3.649" Properties=species:S:1:pos:R:3 pbc="T T T"
Yb 3.402 0.790 1.606
Yb 0.096 -6.406 -0.797
Yb 2.550 -3.517 -0.988
Yb 0.948 -2.098 1.797
Fe 1.139 0.080 -0.508
Fe 3.418 0.241 -1.523
C 1.946 -2.634 3.952
C 1.552 -2.982 -3.143
C 3.221 -1.762 0.796
C 0.277 -3.854 0.013
C 2.485 -2.543 5.175
C 1.013 -3.073 -4.366
C 2.741 -0.949 -0.154
C 0.758 -4.667 0.963
```

2.
Computed, not measured: a relaxed ZnFe5C crystal at the PBE level of DFT.

## Properties
SG: No. 123
energy of formation from the pure elements: 1.36 eV/f.u.
size of the total moment: 1.61 μB/atom

The structure in extended XYZ format:
```
7
Lattice="3.483 0.000 0.000 0.000 3.484 0.000 0.000 0.000 6.358" Properties=species:S:1:pos:R:3 pbc="T T T"
Zn 0.000 0.000 3.179
Fe 0.000 1.742 5.137
Fe 0.000 1.742 1.221
Fe 1.742 0.000 5.137
Fe 1.742 0.000 1.221
Fe 1.742 1.742 3.179
C 1.742 1.742 0.000
```

3.
Computed, not measured: a relaxed ZnFe22C6 crystal at the PBE level of DFT.

## Properties
SG: No. 225
energy of formation from the pure elements: 1.21 eV/f.u.
size of the total moment: 1.50 μB/atom

The structure in extended XYZ format:
```
29
Lattice="0.550 -7.228 1.533 6.665 -3.078 0.999 2.087 -2.206 6.759" Properties=species:S:1:pos:R:3 pbc="T T T"
Zn 0.000 0.000 0.000
Fe 6.977 -9.384 6.968
Fe 2.326 -3.128 2.323
Fe 4.763 -6.687 2.575
Fe 5.736 -7.716 5.730
Fe 2.626 -6.279 5.263
Fe 5.480 -4.342 5.014
Fe 4.540 -5.825 6.716
Fe 3.566 -4.796 3.561
Fe 6.677 -6.233 4.028
Fe 3.823 -8.170 4.277
Fe 1.073 -5.519 3.311
Fe 5.107 -2.781 2.960
Fe 0.710 -0.751 2.300
Fe 4.397 -2.031 0.659
Fe 0.363 -4.768 1.011
Fe 1.376 -1.455 4.459
Fe 2.269 -1.048 0.340
Fe 3.645 -2.503 4.799
Fe 2.632 -5.816 1.351
Fe 1.564 -3.915 4.980
Fe 0.187 -2.460 0.522
Fe 4.584 -4.491 1.181
C 5.538 -4.856 3.040
C 2.845 -6.684 3.275
C 5.781 -8.040 3.715
C 3.764 -7.656 6.251
C 6.457 -5.828 6.016
C 3.522 -4.472 5.576
```

4.
Computed, not measured: a relaxed Zn2FeC crystal at the PBE level of DFT.

## Properties
SG: No. 122
energy of formation from the pure elements: 2.51 eV/f.u.
size of the total moment: 0.46 μB/atom

The structure in extended XYZ format:
```
8
Lattice="-1.496 -1.726 7.106 -2.260 -6.789 -2.125 -0.125 -4.907 2.702" Properties=species:S:1:pos:R:3 pbc="T T T"
C -1.878 -4.257 2.490
C -2.132 -7.977 1.534
Zn -1.067 -2.944 3.984
Zn -1.814 -5.896 1.102
Zn -1.778 -7.701 3.635
Zn -3.105 -10.303 6.644
Fe 0.000 0.000 0.000
Fe -1.750 -5.445 6.149
```

5.
Computed, not measured: a relaxed Zn2Fe6C crystal at the PBE level of DFT.

## Properties
SG: No. 162
energy of formation from the pure elements: 4.55 eV/f.u.
size of the total moment: 1.58 μB/atom

The structure in extended XYZ format:
```
9
Lattice="-2.144 2.822 -1.970 -4.983 -3.414 0.531 1.375 4.047 4.301" Properties=species:S:1:pos:R:3 pbc="T T T"
Zn -3.935 0.484 0.802
Zn -1.816 2.971 2.059
Fe -0.232 1.804 0.565
Fe -3.268 1.239 3.059
Fe -0.537 5.065 1.766
Fe -5.267 -0.486 -1.039
Fe -2.484 2.216 -0.197
Fe -1.859 -0.106 -0.400
C 0.000 0.000 0.000
```

6.
Computed, not measured: a relaxed Zr2ZnFeC crystal at the PBE level of DFT.

## Properties
SG: No. 123
energy of formation from the pure elements: -1.73 eV/f.u.
size of the total moment: 0.24 μB/atom

The structure in extended XYZ format:
```
5
Lattice="4.597 0.000 0.000 0.000 4.597 0.000 0.000 0.000 3.698" Properties=species:S:1:pos:R:3 pbc="T T T"
C 0.000 0.000 0.000
Zn 2.298 2.298 1.849
Fe 0.000 0.000 1.849
Zr 0.000 2.298 0.000
Zr 2.298 0.000 0.000
```

7.
Computed, not measured: a relaxed ZrFeC2 crystal at the PBE level of DFT.

## Properties
SG: No. 122
energy of formation from the pure elements: 1.04 eV/f.u.
size of the total moment: 0.00 μB/atom

The structure in extended XYZ format:
```
8
Lattice="4.477 0.000 0.000 0.000 4.477 0.000 2.238 2.238 4.996" Properties=species:S:1:pos:R:3 pbc="T T T"
C 2.997 1.119 1.249
C 1.480 3.358 1.249
C 3.358 3.718 3.747
C 5.596 5.236 3.747
Fe 2.238 2.238 0.000
Fe 2.238 4.477 2.498
Zr 0.000 0.000 0.000
Zr 4.477 2.238 2.498
```

8.
Computed, not measured: a relaxed ZrFeC crystal at the PBE level of DFT.

## Properties
SG: No. 62
energy of formation from the pure elements: -0.98 eV/f.u.
size of the total moment: 0.00 μB/atom

The structure in extended XYZ format:
```
12
Lattice="3.174 0.000 0.000 0.000 5.066 0.000 0.000 0.000 9.352" Properties=species:S:1:pos:R:3 pbc="T T T"
Zr 2.380 3.747 4.019
Zr 0.793 1.214 0.657
Zr 0.793 1.319 5.333
Zr 2.380 3.851 8.695
Fe 2.380 1.369 7.638
Fe 0.793 3.902 6.391
Fe 0.793 3.697 1.715
Fe 2.380 1.164 2.962
C 2.380 4.789 1.582
C 0.793 2.256 3.095
C 0.793 0.277 7.771
C 2.380 2.810 6.258
```

9.
Computed, not measured: a relaxed ZrFeC3 crystal at the PBE level of DFT.

## Properties
SG: No. 221
energy of formation from the pure elements: 6.02 eV/f.u.
size of the total moment: 0.00 μB/atom
offset from the most stable computed form: 0.000 eV/atom

The structure in extended XYZ format:
```
5
Lattice="-0.097 -2.141 3.065 3.226 1.501 1.151 -1.889 2.674 1.808" Properties=species:S:1:pos:R:3 pbc="T T T"
C 1.613 0.751 0.575
C -0.945 1.337 0.904
C -0.049 -1.070 1.532
Fe 0.000 0.000 0.000
Zr 0.620 1.017 3.012
```

10.
Computed, not measured: a relaxed ZrFe2C crystal at the PBE level of DFT.

## Properties
SG: No. 122
energy of formation from the pure elements: 0.14 eV/f.u.
size of the total moment: 0.00 μB/atom

The structure in extended XYZ format:
```
8
Lattice="-3.128 0.093 -5.628 2.869 -5.513 -1.685 -1.934 -3.949 -2.674" Properties=species:S:1:pos:R:3 pbc="T T T"
C -0.130 -2.710 -3.657
C 0.402 -6.086 -4.008
Fe -1.690 -1.630 -3.694
Fe 0.528 -4.410 -3.128
Fe -1.190 -5.683 -4.958
Fe -2.036 -7.016 -8.194
Zr 0.000 0.000 0.000
Zr -2.596 -3.283 -5.979
```

11.
Computed, not measured: a relaxed ZrFeC2 crystal at the PBE level of DFT.

## Properties
SG: No. 225
energy of formation from the pure elements: 2.67 eV/f.u.
size of the total moment: 0.00 μB/atom

The structure in extended XYZ format:
```
4
Lattice="0.000 2.726 2.726 2.726 0.000 2.726 2.726 2.726 0.000" Properties=species:S:1:pos:R:3 pbc="T T T"
C 1.363 1.363 1.363
C 4.089 4.089 4.089
Fe 0.000 0.000 0.000
Zr 2.726 2.726 2.726
```

12.
Computed, not measured: a relaxed ZrFeC3 crystal at the PBE level of DFT.

## Properties
SG: No. 221
energy of formation from the pure elements: 13.75 eV/f.u.
size of the total moment: 0.02 μB/atom
offset from the most stable computed form: 1.546 eV/atom

The structure in extended XYZ format:
```
5
Lattice="-2.931 -1.850 -2.437 0.332 -3.547 2.294 -3.042 1.395 2.598" Properties=species:S:1:pos:R:3 pbc="T T T"
C 0.166 -1.773 1.147
C -1.521 0.698 1.299
C -1.465 -0.925 -1.218
Fe -2.820 -2.001 1.227
Zr 0.000 0.000 0.000
```

13.
Computed, not measured: a relaxed GaC6 crystal at the PBE level of DFT.

## Properties
SG: No. 221
energy of formation from the pure elements: 15.89 eV/f.u.
size of the total moment: 0.31 μB/atom

The structure in extended XYZ format:
```
7
Lattice="5.399 0.000 0.000 0.000 5.399 0.000 0.000 0.000 5.399" Properties=species:S:1:pos:R:3 pbc="T T T"
Ga 0.000 0.000 0.000
C 2.066 0.000 0.000
C 3.333 0.000 0.000
C 0.000 2.066 0.000
C 0.000 3.333 0.000
C 0.000 0.000 2.066
C 0.000 0.000 3.333
```

14.
Computed, not measured: a relaxed Ga4C23 crystal at the PBE level of DFT.

## Properties
SG: No. 223
energy of formation from the pure elements: 30.72 eV/f.u.
size of the total moment: 0.00 μB/atom

The structure in extended XYZ format:
```
54
Lattice="7.375 0.000 0.000 0.000 7.375 0.000 0.000 0.000 7.375" Properties=species:S:1:pos:R:3 pbc="T T T"
Ga 0.000 0.000 0.000
Ga 3.688 3.688 3.688
Ga 1.844 3.688 0.000
Ga 5.532 3.688 0.000
Ga 3.688 0.000 1.844
Ga 3.688 0.000 5.532
Ga 0.000 1.844 3.688
Ga 0.000 5.532 3.688
C 1.844 0.000 3.688
C 5.532 0.000 3.688
C 0.000 3.688 1.844
C 0.000 3.688 5.532
C 3.688 1.844 0.000
C 3.688 5.532 0.000
C 6.003 6.003 6.003
C 6.003 1.372 1.372
C 1.372 6.003 1.372
C 1.372 1.372 6.003
C 5.060 5.060 5.060
C 5.060 2.315 2.315
C 2.315 5.060 2.315
C 2.315 2.315 5.060
C 1.372 1.372 1.372
C 1.372 6.003 6.003
C 6.003 1.372 6.003
C 6.003 6.003 1.372
C 2.315 2.315 2.315
C 2.315 5.060 5.060
C 5.060 2.315 5.060
C 5.060 5.060 2.315
C 0.000 5.341 1.584
C 0.000 2.034 5.791
C 0.000 5.341 5.791
C 0.000 2.034 1.584
C 5.341 1.584 0.000
C 5.341 5.791 0.000
C 2.034 1.584 0.000
C 2.034 5.791 0.000
C 1.584 0.000 5.341
C 1.584 0.000 2.034
C 5.791 0.000 2.034
C 5.791 0.000 5.341
C 5.722 3.688 2.103
C 5.722 3.688 5.272
C 1.654 3.688 5.272
C 1.654 3.688 2.103
C 3.688 2.103 5.722
C 3.688 5.272 1.654
C 3.688 2.103 1.654
C 3.688 5.272 5.722
C 2.103 5.722 3.688
C 2.103 1.654 3.688
C 5.272 5.722 3.688
C 5.272 1.654 3.688
```

15.
Computed, not measured: a relaxed GaC4 crystal at the PBE level of DFT.

## Properties
SG: No. 221
energy of formation from the pure elements: 20.02 eV/f.u.
size of the total moment: 0.00 μB/atom

The structure in extended XYZ format:
```
5
Lattice="-0.446 -1.602 3.583 1.327 -3.456 -1.380 3.694 1.048 0.929" Properties=species:S:1:pos:R:3 pbc="T T T"
C 0.000 0.000 0.000
C 1.624 -0.277 2.256
C 2.510 -1.204 -0.226
C 0.440 -2.529 1.102
Ga 2.287 -2.005 1.566
```

16.
Computed, not measured: a relaxed Gd2GaC crystal at the PBE level of DFT.

## Properties
SG: No. 166
energy of formation from the pure elements: -0.39 eV/f.u.
size of the total moment: 3.74 μB/atom

The structure in extended XYZ format:
```
4
Lattice="3.571 0.000 0.000 1.785 3.092 0.000 1.785 1.031 8.918" Properties=species:S:1:pos:R:3 pbc="T T T"
C 3.571 2.062 4.459
Gd 1.785 1.031 5.814
Gd 5.356 3.092 3.104
Ga 0.000 0.000 0.000
```

17.
Computed, not measured: a relaxed GaGeC crystal at the PBE level of DFT.

## Properties
SG: No. 1
energy of formation from the pure elements: 2.09 eV/f.u.
size of the total moment: 0.00 μB/atom
offset from the most stable computed form: 0.212 eV/atom

The structure in extended XYZ format:
```
3
Lattice="3.128 0.000 0.031 1.554 2.877 0.126 0.067 0.517 4.721" Properties=species:S:1:pos:R:3 pbc="T T T"
Ge 3.016 0.073 0.483
C 2.993 1.880 1.451
Ga 1.392 1.558 2.991
```

18.
Computed, not measured: a relaxed GaGeC crystal at the PBE level of DFT.

## Properties
SG: No. 3
energy of formation from the pure elements: 1.90 eV/f.u.
size of the total moment: 0.00 μB/atom
offset from the most stable computed form: 0.148 eV/atom

The structure in extended XYZ format:
```
3
Lattice="3.205 0.000 -0.006 0.000 4.230 0.000 -0.962 0.000 3.235" Properties=species:S:1:pos:R:3 pbc="T T T"
Ge 1.122 3.988 1.615
C -0.481 2.809 1.618
Ga 0.000 1.649 0.000
```

19.
Computed, not measured: a relaxed GaGeC crystal at the PBE level of DFT.

## Properties
SG: No. 160
energy of formation from the pure elements: 1.46 eV/f.u.
size of the total moment: 0.00 μB/atom
offset from the most stable computed form: 0.000 eV/atom

The structure in extended XYZ format:
```
9
Lattice="-2.143 2.293 0.694 -0.788 -3.096 0.352 5.128 0.360 14.650" Properties=species:S:1:pos:R:3 pbc="T T T"
Ge 3.378 0.237 9.651
Ge 0.429 -1.183 5.233
Ge 3.396 0.854 15.114
C 1.877 0.132 5.362
C -1.072 -1.288 0.945
C 1.895 0.748 10.825
Ga 2.544 0.179 7.270
Ga -0.405 -1.241 2.852
Ga 2.562 0.795 12.733
```

20.
Computed, not measured: a relaxed GaGe2C crystal at the PBE level of DFT.

## Properties
SG: No. 122
energy of formation from the pure elements: 2.00 eV/f.u.
size of the total moment: 0.00 μB/atom
offset from the most stable computed form: 0.000 eV/atom

The structure in extended XYZ format:
```
8
Lattice="5.309 0.000 0.000 0.000 5.309 0.000 2.654 2.654 4.962" Properties=species:S:1:pos:R:3 pbc="T T T"
Ge 3.610 1.327 1.240
Ge 1.698 3.982 1.240
Ge 3.982 4.353 3.721
Ge 6.636 6.265 3.721
C 2.654 2.654 0.000
C 2.654 5.309 2.481
Ga 0.000 0.000 0.000
Ga 5.309 2.654 2.481
```

21.
Computed, not measured: a relaxed GaGe2C crystal at the PBE level of DFT.

## Properties
SG: No. 225
energy of formation from the pure elements: 5.42 eV/f.u.
size of the total moment: 0.00 μB/atom
offset from the most stable computed form: 0.855 eV/atom

The structure in extended XYZ format:
```
4
Lattice="0.000 3.164 3.164 3.164 0.000 3.164 3.164 3.164 0.000" Properties=species:S:1:pos:R:3 pbc="T T T"
Ge 1.582 1.582 1.582
Ge 4.746 4.746 4.746
C 0.000 0.000 0.000
Ga 3.164 3.164 3.164
```

22.
Computed, not measured: a relaxed GaGeC crystal at the PBE level of DFT.

## Properties
SG: No. 8
energy of formation from the pure elements: 1.77 eV/f.u.
size of the total moment: 0.00 μB/atom
offset from the most stable computed form: 0.105 eV/atom

The structure in extended XYZ format:
```
3
Lattice="-2.890 -1.296 0.603 1.409 -2.993 0.343 1.388 2.983 4.121" Properties=species:S:1:pos:R:3 pbc="T T T"
Ge 0.218 1.407 4.075
C -1.370 0.569 3.278
Ga -0.816 -1.121 2.386
```

23.
Computed, not measured: a relaxed Hf2GaGeC crystal at the PBE level of DFT.

## Properties
SG: No. 123
energy of formation from the pure elements: 8.37 eV/f.u.
size of the total moment: 0.00 μB/atom

The structure in extended XYZ format:
```
5
Lattice="-4.775 1.075 1.018 -0.325 -3.720 2.402 1.435 2.509 4.080" Properties=species:S:1:pos:R:3 pbc="T T T"
Ge 0.000 0.000 0.000
Hf 0.717 1.254 2.040
Hf -2.388 0.537 0.509
C -1.833 -0.068 3.750
Ga -0.163 -1.860 1.201
```